(1)
Here is an optimized crystal structure of Pm3Mg4 from OQMD. Energies are from PBE-GGA.

It has space group P6_3/m (No. 176), with a = 9.2440 Å, b = 9.2440 Å, c = 5.3630 Å, α = 90.00°, β = 90.00° and γ = 120.00°. Symmetry generates all atoms from Pm at (0.0964, 0.6342, 0.2500), Mg at (0.0462, 0.8187, 0.7500) and Mg at (0.3333, 0.6667, 0.7500).

Its volume is 397 Å³/cell. The energy is -2.93 eV per atom.

(2)
Here is an optimized crystal structure of PmMg from OQMD. Energies are from PBE-GGA.

It has space group F-43m (No. 216), with a = 7.127 Å, b = 7.127 Å, c = 7.127 Å, α = 90.00°, β = 90.00° and γ = 90.00°. Symmetry generates all atoms from Pm at (0.000, 0.000, 0.000) and Mg at (0.250, 0.250, 0.250).

Its volume is 362 Å³/cell. The energy is -1.97 eV per atom.

(3)
Here is an optimized crystal structure of PmMg from OQMD. Energies are from PBE-GGA.

It has space group Pmmn (No. 59, origin choice 2), with a = 3.939 Å, b = 5.442 Å, c = 10.886 Å, α = 90.00°, β = 90.00° and γ = 90.00°. Symmetry generates all atoms from Pm at (0.250, 0.250, 0.034), Pm at (0.250, 0.750, 0.256), Mg at (0.250, 0.250, 0.493) and Mg at (0.250, 0.750, 0.716).

Its volume is 233 Å³/cell. The energy is -3.18 eV per atom.